Entry 1:
GGA-PBE FeAgRh2, optimized geometry; energy relative to the elements = 0.34 eV/atom; ρ = 10.2 Mg/m³; energy = -6.17 eV/atom; total moment = 1.217 μB per atom; crystal system = cubic
1.0
4.393 0.000 0.000
2.197 3.805 0.000
2.197 1.268 3.587
Fe Rh Ag
1 2 1
Direct
0.750 0.750 0.750
0.000 0.000 0.000
0.250 0.250 0.250
0.500 0.500 0.500

***

Entry 2:
GGA-PBE Fe2AgRh2, optimized geometry; energy relative to the elements = 0.15 eV/atom; ρ = 9.5 Mg/m³; energy = -6.75 eV/atom; total moment = 1.443 μB per atom; crystal system = tetragonal
1.0
-2.105 5.360 4.483
-6.937 -2.166 -0.667
0.321 -1.699 2.182
Fe Rh Ag
4 4 2
Direct
0.841 0.341 0.500
0.159 0.659 0.500
0.341 0.159 0.500
0.659 0.841 0.500
0.864 0.636 0.000
0.136 0.364 0.000
0.636 0.136 0.000
0.364 0.864 0.000
0.000 0.000 0.000
0.500 0.500 0.000